1.
The following is a DFT calculation (PBE) of an optimized crystal structure of Ca6Sb2PS.

Lattice parameters (Å, degrees): 7.1931 8.0162 12.6624 90.00 124.52 90.00
Last column: nearest neighbours and their distance in Å.
Space group P2_1/c (No. 14)
One atom of each set of equivalent atoms:
1 Ca 0.1244 0.1875 0.4417 x4  1 P 2.80, 1 S 2.89
2 Ca 0.2628 0.6940 0.4427 x4  1 P 2.84, 1 S 2.84
3 Ca 0.3708 0.0439 0.2510 x4  1 P 2.76, 1 S 2.78
4 Sb 0.2165 0.0892 0.7521 x4  6 Ca 3.15-3.37
5 P 0.5000 0.0000 0.5000 x2  6 Ca 2.76-2.84
6 S 0.0000 0.0000 0.0000 x2  6 Ca 2.78-2.89

Values from the calculation:
magnetic moment: 0.99 μB/f.u.
ΔE_f (raw): -11.87 eV per formula unit
mass density: 3020 kg/m3
E_tot: -83.32 eV/cell



2.
The following is a DFT calculation (PBE) of an optimized crystal structure of CaFeBr2.

Lattice parameters (Å, degrees): 11.0616 3.7332 5.3544 90.00 91.37 90.00
Last column: nearest neighbours and their distance in Å.
Space group Cm (No. 8)
One atom of each set of equivalent atoms:
1 Ca 0.0000 0.0000 0.0000 x2  2 Fe 2.96, 5 Br 3.01-3.15
2 Fe 0.1676 0.5000 0.7550 x2  3 Br 2.35-2.46
3 Br 0.0101 0.5000 0.4531 x2  1 Fe 2.35
4 Br 0.2713 0.0000 0.9688 x2  2 Fe 2.46

Values from the calculation:
magnetic moment: 2.05 μB/f.u.
ΔE_f (raw): -2.11 eV per formula unit
mass density: 3842 kg/m3
E_tot: -31.85 eV/cell
relative energy among the computed polymorphs: 73 meV/atom



3.
The following is a DFT calculation (PBE) of an optimized crystal structure of KAs4Cl.

Lattice parameters (Å, degrees): 8.9866 8.9866 8.9866 90.00 90.00 90.00
Last column: nearest neighbours and their distance in Å.
Space group F-43m (No. 216)
One atom of each set of equivalent atoms:
1 K 0.0000 0.0000 0.0000 x4  12 As 3.83, 4 Cl 3.89
2 As 0.0967 0.0967 0.5967 x16  3 As 2.46
3 Cl 0.2500 0.2500 0.2500 x4  12 As 3.67, 4 K 3.89

Values from the calculation:
magnetic moment: 0.00 μB/f.u.
ΔE_f (raw): -2.30 eV per formula unit
mass density: 3425 kg/m3
E_tot: -95.38 eV/cell



4.
The following is a DFT calculation (PBE) of an optimized crystal structure of TcP2O2.

Lattice parameters (Å, degrees): 3.7130 3.7130 5.3551 90.00 90.00 90.00
Last column: nearest neighbours and their distance in Å.
Space group P4/mmm (No. 123)
One atom of each set of equivalent atoms:
1 Tc 0.0000 0.0000 0.0000 x1  4 O 1.86
2 P 0.0000 0.0000 0.5000 x1  4 P 2.63, 2 Tc 2.68
3 P 0.5000 0.5000 0.5000 x1  4 P 2.63
4 O 0.0000 0.5000 0.0000 x2  2 Tc 1.86

Values from the calculation:
magnetic moment: 1.08 μB/f.u.
ΔE_f (raw): -1.86 eV per formula unit
mass density: 4317 kg/m3
E_tot: -32.96 eV/cell
relative energy among the computed polymorphs: 0 meV/atom



5.
The following is a DFT calculation (PBE) of an optimized crystal structure of Ce2PuIr3.

Lattice parameters (Å, degrees): 12.6279 5.6562 8.1284 90.00 108.80 90.00
Last column: nearest neighbours and their distance in Å.
Space group C2/c (No. 15)
One atom of each set of equivalent atoms:
1 Ce 0.1673 0.0005 0.0837 x8  6 Ir 2.83-2.89
2 Pu 0.0000 0.4993 0.2500 x4  6 Ir 2.80-2.83
3 Ir 0.0000 0.0007 0.7500 x4  2 Pu 2.83, 4 Ce 2.85
4 Ir 0.1607 0.5004 0.0804 x8  2 Pu 2.80, 4 Ce 2.83-2.89

Values from the calculation:
magnetic moment: 4.93 μB/f.u.
mass density: 13304 kg/m3
E_tot: -225.06 eV/cell
formation energy: -0.5803 eV per atom



6.
The following is a DFT calculation (PBE) of an optimized crystal structure of PmDyHo5Th2.

Lattice parameters (Å, degrees): 8.8430 8.8430 15.2015 90.00 90.00 90.00
Last column: nearest neighbours and their distance in Å.
Space group I4/mcm (No. 140)
One atom of each set of equivalent atoms:
1 Pm 0.0000 0.0000 0.2500 x4  10 Ho 3.60-3.80
2 Dy 0.0000 0.5000 0.2500 x4  4 Ho 3.11
3 Ho 0.0000 0.0000 0.0000 x4  4 Th 3.53, 2 Pm 3.80, 8 Ho 3.80
4 Ho 0.2083 0.2917 0.1380 x16  1 Th 3.01, 1 Dy 3.11
5 Th 0.1186 0.3814 0.5000 x8  1 Th 2.97, 2 Ho 3.01

Values from the calculation:
magnetic moment: 0.00 μB/f.u.
mass density: 8919 kg/m3
E_tot: -176.17 eV/cell
formation energy: 0.3377 eV per atom



7.
The following is a DFT calculation (PBE) of an optimized crystal structure of CeDy2HoAs4.

Lattice parameters (Å, degrees): 7.1597 4.1387 7.1623 90.00 109.42 90.00
Last column: nearest neighbours and their distance in Å.
Space group P2/m (No. 10)
One atom of each set of equivalent atoms:
1 Ce 0.0000 0.0000 0.0000 x1  6 As 2.93-2.94
2 Dy 0.0000 0.5000 0.5000 x1  6 As 2.93
3 Dy 0.5000 0.0000 0.5000 x1  6 As 2.91
4 Ho 0.5000 0.5000 0.0000 x1  6 As 2.92
5 As 0.2515 0.0000 0.7501 x2  3 Dy 2.91-2.93, 2 Ho 2.92, 1 Ce 2.93
6 As 0.2529 0.5000 0.2521 x2  3 Dy 2.91-2.93, 1 Ho 2.92, 2 Ce 2.94

Values from the calculation:
magnetic moment: 0.54 μB/f.u.
mass density: 7713 kg/m3
E_tot: -50.37 eV/cell
formation energy: -1.5071 eV per atom



8.
The following is a DFT calculation (PBE) of an optimized crystal structure of CdGa2Ag.

Lattice parameters (Å, degrees): 7.8044 7.8044 5.6058 90.00 90.00 90.00
Last column: nearest neighbours and their distance in Å.
Space group I-42d (No. 122)
One atom of each set of equivalent atoms:
1 Cd 0.0000 0.0000 0.0000 x4  2 Ag 2.80, 4 Ga 2.97
2 Ga 0.2278 0.2500 0.6250 x8  2 Ag 2.73, 2 Ga 2.82, 2 Cd 2.97
3 Ag 0.0000 0.0000 0.5000 x4  4 Ga 2.73, 2 Cd 2.80

Values from the calculation:
magnetic moment: 0.00 μB/f.u.
mass density: 6998 kg/m3
E_tot: -37.17 eV/cell
formation energy: 0.1319 eV per atom